Entry 1:
CeSbIr: optimized geometry, GGA-PBEsol.

ΔE_f (raw) ... -862 meV per atom
SG ... Pnma, No. 62
Density ... 11.8 g cm⁻³

Structure (CIF):
```
data_CeSbIr
_symmetry_space_group_name_H-M 'P 1'
_symmetry_Int_Tables_number 1
_symmetry_space_group_name_Hall 'P 1'
_cell_length_a 7.1451
_cell_length_b 4.5206
_cell_length_c 7.9065
_cell_angle_alpha 90.00
_cell_angle_beta 90.00
_cell_angle_gamma 90.00
loop_
_atom_site_label
_atom_site_fract_x
_atom_site_fract_y
_atom_site_fract_z
_atom_site_occupancy
Ce1 0.0104 0.2500 0.1916 1
Ce2 0.4896 0.7500 0.6916 1
Ce3 0.5104 0.2500 0.3084 1
Ce4 0.9896 0.7500 0.8084 1
Sb1 0.1751 0.2500 0.5879 1
Sb2 0.3249 0.7500 0.0879 1
Sb3 0.6751 0.2500 0.9121 1
Sb4 0.8249 0.7500 0.4121 1
Ir1 0.2219 0.7500 0.4149 1
Ir2 0.2781 0.2500 0.9149 1
Ir3 0.7219 0.7500 0.0851 1
Ir4 0.7781 0.2500 0.5851 1
```

***

Entry 2:
MnZn2Ir: optimized geometry, GGA-PBEsol.

ΔH_f (0 K) ... -0.027 eV/atom
SG ... Pmm2, No. 25
Density ... 11.8 g cm⁻³

Structure (CIF):
```
data_MnZn2Ir
_symmetry_space_group_name_H-M 'P 1'
_symmetry_Int_Tables_number 1
_symmetry_space_group_name_Hall 'P 1'
_cell_length_a 2.7786
_cell_length_b 3.5474
_cell_length_c 5.4023
_cell_angle_alpha 90.00
_cell_angle_beta 90.00
_cell_angle_gamma 90.00
loop_
_atom_site_label
_atom_site_fract_x
_atom_site_fract_y
_atom_site_fract_z
_atom_site_occupancy
Mn1 0.0000 0.0000 0.0000 1
Zn1 0.0000 0.0000 0.5092 1
Zn2 0.5000 0.5000 0.2641 1
Ir1 0.5000 0.5000 0.7744 1
```

***

Entry 3:
As3P3Pb10Cl2O24: optimized geometry, GGA-PBEsol.

ΔE_f (raw) ... -1585 meV per atom
SG ... P-6, No. 174
Density ... 7.3 g cm⁻³

Structure (CIF):
```
data_As3P3Pb10Cl2O24
_symmetry_space_group_name_H-M 'P 1'
_symmetry_Int_Tables_number 1
_symmetry_space_group_name_Hall 'P 1'
_cell_length_a 10.1471
_cell_length_b 10.1471
_cell_length_c 7.2886
_cell_angle_alpha 90.00
_cell_angle_beta 90.00
_cell_angle_gamma 120.00
loop_
_atom_site_label
_atom_site_fract_x
_atom_site_fract_y
_atom_site_fract_z
_atom_site_occupancy
As1 0.0302 0.4060 0.0000 1
As2 0.3759 0.9698 0.0000 1
As3 0.5940 0.6241 0.0000 1
P1 0.4128 0.3819 0.5000 1
P2 0.6181 0.0310 0.5000 1
P3 0.9690 0.5872 0.5000 1
Pb1 0.0066 0.7536 0.0000 1
Pb2 0.2464 0.2529 0.0000 1
Pb3 0.2551 0.0179 0.5000 1
Pb4 0.3333 0.6667 0.2594 1
Pb5 0.3333 0.6667 0.7406 1
Pb6 0.6667 0.3333 0.2504 1
Pb7 0.6667 0.3333 0.7496 1
Pb8 0.7471 0.9934 0.0000 1
Pb9 0.7628 0.7449 0.5000 1
Pb10 0.9821 0.2372 0.5000 1
Cl1 0.0000 0.0000 0.2485 1
Cl2 0.0000 0.0000 0.7515 1
O1 0.0977 0.3556 0.1870 1
O2 0.0977 0.3556 0.8130 1
O3 0.1235 0.6027 0.0000 1
O4 0.1431 0.6540 0.5000 1
O5 0.2579 0.9023 0.1870 1
O6 0.2579 0.9023 0.8130 1
O7 0.3460 0.4891 0.5000 1
O8 0.3643 0.2765 0.3282 1
O9 0.3643 0.2765 0.6718 1
O10 0.3973 0.5208 0.0000 1
O11 0.4792 0.8765 0.0000 1
O12 0.4901 0.1631 0.0000 1
O13 0.5109 0.8569 0.5000 1
O14 0.5232 0.1150 0.5000 1
O15 0.5918 0.4768 0.5000 1
O16 0.6444 0.7421 0.1870 1
O17 0.6444 0.7421 0.8130 1
O18 0.6730 0.5099 0.0000 1
O19 0.7235 0.0879 0.3282 1
O20 0.7235 0.0879 0.6718 1
O21 0.8369 0.3270 0.0000 1
O22 0.8850 0.4082 0.5000 1
O23 0.9121 0.6357 0.3282 1
O24 0.9121 0.6357 0.6718 1
```

***

Entry 4:
CrPbAu2: optimized geometry, GGA-PBEsol.

ΔH_f (0 K) ... 0.181 eV/atom
SG ... P4/mmm, No. 123
Density ... 14.1 g cm⁻³

Structure (CIF):
```
data_CrPbAu2
_symmetry_space_group_name_H-M 'P 1'
_symmetry_Int_Tables_number 1
_symmetry_space_group_name_Hall 'P 1'
_cell_length_a 3.2804
_cell_length_b 3.2804
_cell_length_c 7.1237
_cell_angle_alpha 90.00
_cell_angle_beta 90.00
_cell_angle_gamma 90.00
loop_
_atom_site_label
_atom_site_fract_x
_atom_site_fract_y
_atom_site_fract_z
_atom_site_occupancy
Cr1 0.0000 0.0000 0.0000 1
Pb1 0.0000 0.0000 0.5000 1
Au1 0.5000 0.5000 0.2055 1
Au2 0.5000 0.5000 0.7945 1
```